No. 1
The following is a DFT calculation (GGA-PBE) of crystalline CeSmGaRh at its relaxed geometry.

Structure (POSCAR):
```
CeSmGaRh
1.0
7.153 0.000 0.000
0.000 7.153 0.000
0.000 0.000 7.153
Ce Sm Ga Rh
4 4 4 4
Cartesian
0.000 0.000 0.000
0.000 3.577 3.577
3.577 0.000 3.577
3.577 3.577 0.000
0.000 0.000 3.577
0.000 3.577 0.000
3.577 0.000 0.000
3.577 3.577 3.577
1.788 1.788 5.365
1.788 5.365 1.788
5.365 1.788 1.788
5.365 5.365 5.365
1.788 1.788 1.788
1.788 5.365 5.365
5.365 1.788 5.365
5.365 5.365 1.788
```

**DOS at the Fermi energy**: 24.82 states/eV per cell
**E above lowest polymorph**: 148 meV per atom
**Formation energy from the elements**: -0.53 eV per atom
**E**: -5.787 eV/atom

=====

No. 2
The following is a DFT calculation (GGA-PBE) of crystalline Ce2Ga2SnRh5 at its relaxed geometry.

Structure (POSCAR):
```
Ce2Ga2SnRh5
1.0
9.891 0.000 0.000
0.000 9.891 0.000
0.000 0.000 3.660
Ce Ga Sn Rh
4 4 2 10
Cartesian
1.744 3.202 0.000
3.202 8.148 0.000
6.689 1.744 0.000
8.148 6.689 0.000
1.199 6.145 0.000
3.746 1.199 0.000
6.145 8.692 0.000
8.692 3.746 0.000
0.000 0.000 0.000
4.946 4.946 0.000
0.000 4.946 1.830
0.692 7.813 1.830
2.078 0.692 1.830
2.867 5.637 1.830
4.254 2.867 1.830
4.946 0.000 1.830
5.637 7.024 1.830
7.024 4.254 1.830
7.813 9.200 1.830
9.200 2.078 1.830
```

**DOS at the Fermi energy**: 23.37 states/eV per cell
**Formation energy from the elements**: -0.74 eV per atom
**E**: -6.609 eV/atom

=====

No. 3
The following is a DFT calculation (GGA-PBE) of crystalline CeGaSnRh3 at its relaxed geometry.

Structure (POSCAR):
```
CeGaSnRh3
1.0
2.806 -8.349 0.000
2.806 8.349 0.000
0.000 0.000 5.542
Ce Ga Sn Rh
2 2 2 6
Cartesian
2.806 4.446 4.157
2.806 -4.446 1.386
2.806 6.738 1.386
2.806 -6.738 4.157
2.806 1.668 1.386
2.806 -1.668 4.157
1.343 0.000 0.000
1.343 0.000 2.771
2.806 4.271 1.386
2.806 -4.271 4.157
4.269 0.000 0.000
4.269 0.000 2.771
```

**DOS at the Fermi energy**: 15.22 states/eV per cell
**Formation energy from the elements**: -0.45 eV per atom
**E**: -6.282 eV/atom

=====

No. 4
The following is a DFT calculation (GGA-PBE) of crystalline Tb2CeGa2Rh5 at its relaxed geometry.

Structure (POSCAR):
```
Tb2CeGa2Rh5
1.0
9.935 0.000 0.000
0.000 9.935 0.000
0.000 0.000 3.686
Tb Ce Ga Rh
4 2 4 10
Cartesian
1.698 3.269 0.000
3.269 8.237 0.000
6.666 1.698 0.000
8.237 6.666 0.000
0.000 0.000 0.000
4.968 4.968 0.000
1.234 6.202 0.000
3.733 1.234 0.000
6.202 8.701 0.000
8.701 3.733 0.000
0.000 4.968 1.843
0.694 7.864 1.843
2.071 0.694 1.843
2.896 5.661 1.843
4.274 2.896 1.843
4.968 0.000 1.843
5.661 7.039 1.843
7.039 4.274 1.843
7.864 9.241 1.843
9.241 2.071 1.843
```

**DOS at the Fermi energy**: 12.83 states/eV per cell
**Formation energy from the elements**: -0.84 eV per atom
**E**: -6.636 eV/atom

=====

No. 5
The following is a DFT calculation (GGA-PBE) of crystalline CeGaTcRh at its relaxed geometry.

Structure (POSCAR):
```
CeGaTcRh
1.0
6.517 0.000 0.000
0.000 6.517 0.000
0.000 0.000 6.517
Ce Ga Tc Rh
4 4 4 4
Cartesian
0.000 0.000 0.000
0.000 3.259 3.259
3.259 0.000 3.259
3.259 3.259 0.000
0.000 0.000 3.259
0.000 3.259 0.000
3.259 0.000 0.000
3.259 3.259 3.259
1.629 1.629 4.888
1.629 4.888 1.629
4.888 1.629 1.629
4.888 4.888 4.888
1.629 1.629 1.629
1.629 4.888 4.888
4.888 1.629 4.888
4.888 4.888 1.629
```

**DOS at the Fermi energy**: 12.76 states/eV per cell
**Formation energy from the elements**: -0.41 eV per atom
**E**: -7.080 eV/atom

=====

No. 6
The following is a DFT calculation (GGA-PBE) of crystalline CeThGaRh at its relaxed geometry.

Structure (POSCAR):
```
CeThGaRh
1.0
7.002 0.000 0.000
0.000 7.002 0.000
0.000 0.000 7.002
Ce Th Ga Rh
4 4 4 4
Cartesian
0.000 0.000 0.000
0.000 3.501 3.501
3.501 0.000 3.501
3.501 3.501 0.000
1.750 1.750 1.750
1.750 5.251 5.251
5.251 1.750 5.251
5.251 5.251 1.750
1.750 1.750 5.251
1.750 5.251 1.750
5.251 1.750 1.750
5.251 5.251 5.251
0.000 0.000 3.501
0.000 3.501 0.000
3.501 0.000 0.000
3.501 3.501 3.501
```

**DOS at the Fermi energy**: 30.72 states/eV per cell
**Formation energy from the elements**: -0.36 eV per atom
**E**: -6.296 eV/atom

=====

No. 7
The following is a DFT calculation (GGA-PBE) of crystalline CeYGaRh at its relaxed geometry.

Structure (POSCAR):
```
CeYGaRh
1.0
3.839 0.000 0.000
0.000 4.201 0.000
0.000 0.000 11.376
Ce Y Ga Rh
2 2 2 2
Cartesian
0.000 0.000 0.000
0.000 2.101 5.688
1.920 0.000 8.191
1.920 2.101 2.503
0.000 0.000 3.344
0.000 2.101 9.032
1.920 0.000 5.223
1.920 2.101 10.911
```

**DOS at the Fermi energy**: 10.12 states/eV per cell
**E above lowest polymorph**: 0 meV per atom
**Formation energy from the elements**: -0.71 eV per atom
**E**: -6.404 eV/atom

=====

No. 8
The following is a DFT calculation (GGA-PBE) of crystalline CeYGaRh at its relaxed geometry.

Structure (POSCAR):
```
CeYGaRh
1.0
7.092 0.000 0.000
0.000 7.092 0.000
0.000 0.000 7.092
Ce Y Ga Rh
4 4 4 4
Cartesian
0.000 0.000 0.000
0.000 3.546 3.546
3.546 0.000 3.546
3.546 3.546 0.000
0.000 0.000 3.546
0.000 3.546 0.000
3.546 0.000 0.000
3.546 3.546 3.546
1.773 1.773 1.773
1.773 5.319 5.319
5.319 1.773 5.319
5.319 5.319 1.773
1.773 1.773 5.319
1.773 5.319 1.773
5.319 1.773 1.773
5.319 5.319 5.319
```

**DOS at the Fermi energy**: 22.91 states/eV per cell
**E above lowest polymorph**: 135 meV per atom
**Formation energy from the elements**: -0.57 eV per atom
**E**: -6.268 eV/atom

=====

No. 9
The following is a DFT calculation (GGA-PBE) of crystalline Ce2Zn2GaRh5 at its relaxed geometry.

Structure (POSCAR):
```
Ce2Zn2GaRh5
1.0
9.604 0.000 0.000
0.000 9.604 0.000
0.000 0.000 3.671
Ce Zn Ga Rh
4 4 2 10
Cartesian
1.681 3.121 0.000
3.121 7.923 0.000
6.483 1.681 0.000
7.923 6.483 0.000
1.185 5.987 0.000
3.617 1.185 0.000
5.987 8.419 0.000
8.419 3.617 0.000
0.000 0.000 0.000
4.802 4.802 0.000
0.000 4.802 1.835
0.722 7.695 1.835
1.909 0.722 1.835
2.893 5.524 1.835
4.080 2.893 1.835
4.802 0.000 1.835
5.524 6.711 1.835
6.711 4.080 1.835
7.695 8.882 1.835
8.882 1.909 1.835
```

**DOS at the Fermi energy**: 12.93 states/eV per cell
**Formation energy from the elements**: -0.61 eV per atom
**E**: -6.034 eV/atom

=====

No. 10
The following is a DFT calculation (GGA-PBE) of crystalline Ce2ZnGa4Rh3 at its relaxed geometry.

Structure (POSCAR):
```
Ce2ZnGa4Rh3
1.0
4.072 0.000 0.000
0.000 4.072 0.000
0.000 0.000 11.179
Ce Zn Ga Rh
2 1 4 3
Cartesian
0.000 2.036 2.661
2.036 0.000 8.518
0.000 0.000 5.589
0.000 0.000 0.000
0.000 2.036 7.100
2.036 0.000 4.079
2.036 2.036 0.000
0.000 2.036 9.606
2.036 0.000 1.573
2.036 2.036 5.589
```

**DOS at the Fermi energy**: 12.44 states/eV per cell
**Formation energy from the elements**: -0.66 eV per atom
**E**: -5.395 eV/atom

=====

No. 11
The following is a DFT calculation (GGA-PBE) of crystalline Ce3Ga2Ru4 at its relaxed geometry.

Structure (POSCAR):
```
Ce3Ga2Ru4
1.0
4.633 -2.246 0.000
4.633 2.246 0.000
-0.437 0.000 8.867
Ce Ga Ru
3 2 4
Cartesian
0.000 0.000 0.000
3.141 0.000 5.347
5.689 0.000 3.520
2.911 0.000 1.973
5.919 0.000 6.893
0.698 0.000 5.645
1.883 0.000 8.173
6.947 0.000 0.694
8.132 0.000 3.222
```

**DOS at the Fermi energy**: 9.76 states/eV per cell
**Formation energy from the elements**: -0.44 eV per atom
**E**: -7.215 eV/atom

=====

No. 12
The following is a DFT calculation (GGA-PBE) of crystalline Ce2GaRu4 at its relaxed geometry.

Structure (POSCAR):
```
Ce2GaRu4
1.0
5.936 0.000 0.000
0.000 5.936 0.000
0.000 0.000 8.234
Ce Ga Ru
4 2 8
Cartesian
0.000 2.968 2.058
0.000 2.968 6.175
2.968 0.000 2.058
2.968 0.000 6.175
0.000 0.000 0.000
2.968 2.968 4.117
1.233 1.233 4.117
1.233 4.702 4.117
1.735 1.735 0.000
1.735 4.201 0.000
4.201 1.735 0.000
4.201 4.201 0.000
4.702 1.233 4.117
4.702 4.702 4.117
```

**DOS at the Fermi energy**: 19.23 states/eV per cell
**Formation energy from the elements**: -0.02 eV per atom
**E**: -7.453 eV/atom